Record 1
Entry from the Alexandria database: a relaxed structure of Zr5Pa2Cd (PBE).

Values from the calculation:
E_form (eV/atom): 0.02
Space group: I4/mmm, No. 139
DOS at the Fermi energy (states/eV/f.u.): 13.06
VASP energy (eV/atom): -7.809

Lattice parameters (Å, degrees): 4.3865 4.3865 10.1643 102.46 102.46 90.00
Closest atoms and distances in Å follow each position.
Sites, in units of the cell vectors:
Zr 0.6198 0.1198 0.2396  6 Zr 3.10-3.19, 2 Cd 3.19, 4 Pa 3.32-3.37
Zr 0.5000 0.5000 0.0000  4 Cd 3.10, 8 Zr 3.19
Zr 0.3802 0.8802 0.7604  6 Zr 3.10-3.19, 2 Cd 3.19, 4 Pa 3.32-3.37
Zr 0.1198 0.6198 0.2396  6 Zr 3.10-3.19, 2 Cd 3.19, 4 Pa 3.32-3.37
Zr 0.8802 0.3802 0.7604  6 Zr 3.10-3.19, 2 Cd 3.19, 4 Pa 3.32-3.37
Cd 0.0000 0.0000 0.0000  12 Zr 3.10-3.19
Pa 0.7483 0.7483 0.4965  4 Pa 3.10, 8 Zr 3.32-3.37
Pa 0.2517 0.2517 0.5035  4 Pa 3.10, 8 Zr 3.32-3.37

---

Record 2
Entry from the Alexandria database: a relaxed structure of NaSr2Li3Bi4 (PBE).

Values from the calculation:
E_form (eV/atom): -0.59
Space group: P-4m2, No. 115
DOS at the Fermi energy (states/eV/f.u.): 5.26
VASP energy (eV/atom): -3.185

Lattice parameters (Å, degrees): 4.7596 4.7596 12.8364 90.00 90.00 90.00
Closest atoms and distances in Å follow each position.
Sites, in units of the cell vectors:
Li 0.0000 0.5000 0.1344  5 Bi 2.71-2.94
Li 0.5000 0.0000 0.8656  5 Bi 2.71-2.94
Li 0.0000 0.0000 0.5000  4 Bi 3.10, 4 Na 3.37
Bi 0.5000 0.0000 0.6542  1 Li 2.71
Bi 0.5000 0.5000 0.0000  4 Li 2.94
Bi 0.0000 0.5000 0.3458  1 Li 2.71
Bi 0.0000 0.0000 0.0000  4 Li 2.94
Sr 0.5000 0.0000 0.2435  8 Bi 3.61-3.93, 4 Li 3.65
Sr 0.0000 0.5000 0.7565  8 Bi 3.61-3.93, 4 Li 3.65
Na 0.5000 0.5000 0.5000  4 Bi 3.10, 4 Li 3.37

---

Record 3
Entry from the Alexandria database: a relaxed structure of Ba2CaBeSi (PBE).

Values from the calculation:
Space group: P4/mmm, No. 123
Formation energy (no corrections) (eV per atom): 1.00
DOS at the Fermi energy (states/eV/f.u.): 4.86
VASP energy (eV/atom): -2.004

Lattice parameters (Å, degrees): 6.5558 5.2476 6.5558 90.00 90.00 90.00
Closest atoms and distances in Å follow each position.
Sites, in units of the cell vectors:
Ba 0.5000 0.0000 0.0000  2 Ca 3.28
Ba 0.0000 0.0000 0.5000  2 Ca 3.28
Ca 0.0000 0.0000 0.0000  2 Si 2.62
Be 0.5000 0.5000 0.5000  8 Ba 4.20, 4 Si 4.64
Si 0.0000 0.5000 0.0000  2 Ca 2.62

---

Record 4
Entry from the Alexandria database: a relaxed structure of Na2Pu2CrN6 (PBE).

Values from the calculation:
Space group: C2/m, No. 12
Formation energy (no corrections) (eV per atom): -0.49
DOS at the Fermi energy (states/eV/f.u.): 9.34
VASP energy (eV/atom): -8.756

Lattice parameters (Å, degrees): 5.5935 5.5935 5.9686 98.22 98.22 119.10
Closest atoms and distances in Å follow each position.
Sites, in units of the cell vectors:
N 0.2598 0.2598 0.3234  1 Cr 2.04, 2 Pu 2.17
N 0.7402 0.7402 0.6766  1 Cr 2.04, 2 Pu 2.17
N 0.3770 0.0427 0.6767  1 Cr 2.10, 2 Pu 2.11-2.19
N 0.9573 0.6230 0.3233  1 Cr 2.10, 2 Pu 2.11-2.19
N 0.6230 0.9573 0.3233  1 Cr 2.10, 2 Pu 2.11-2.19
N 0.0427 0.3770 0.6767  1 Cr 2.10, 2 Pu 2.11-2.19
Cr 0.0000 0.0000 0.5000  6 N 2.04-2.10
Pu 0.6653 0.3347 0.5000  6 N 2.11-2.19
Pu 0.3347 0.6653 0.5000  6 N 2.11-2.19
Na 0.1576 0.8424 0.0000  6 N 2.54-2.74
Na 0.8424 0.1576 0.0000  6 N 2.54-2.74